The following is a PBE with a Hubbard U calculation of crystalline Tl3CoF at its relaxed geometry, from the Alexandria database.

Unit cell a=5.0127 b=5.0127 c=5.0127 alpha=90.00 beta=90.00 gamma=90.00
With the nearest neighbours (Å) after each atom.
Sites, in units of the cell vectors:
Tl  0.0000  0.0000  0.5000  2 Co 2.51
Tl  0.0000  0.5000  0.0000  2 Co 2.51
Tl  0.5000  0.0000  0.0000  2 Co 2.51
Co  0.0000  0.0000  0.0000  6 Tl 2.51
F  0.5000  0.5000  0.5000  12 Tl 3.54

Output
Calculated total energy (eV per atom): -2.974